MnB3O, optimized geometry, DFT GGA+U; E above lowest polymorph = 408 meV/atom; density = 2.84 Mg/m³; symmetry = Pm-3m (221); crystal system = cubic
1.0
3.9252 0.0000 0.0000
0.0000 3.9252 0.0000
0.0000 0.0000 3.9252
Mn B O
1 3 1
Direct
0.0000 0.0000 0.0000
0.0000 0.0000 0.5000
0.0000 0.5000 0.0000
0.5000 0.0000 0.0000
0.5000 0.5000 0.5000